Computed, not measured: a geometry-optimized Eu2GaAu structure at the GGA-PBE level of DFT.

CIF file:
```
data_Eu2GaAu
_symmetry_space_group_name_H-M 'P 4/m m m'
_symmetry_Int_Tables_number 123
_symmetry_space_group_name_Hall '-P 4 2'
_cell_length_a 3.7867
_cell_length_b 3.7867
_cell_length_c 7.3410
_cell_angle_alpha 90.00
_cell_angle_beta 90.00
_cell_angle_gamma 90.00
loop_
_atom_site_label
_atom_site_type_symbol
_atom_site_fract_x
_atom_site_fract_y
_atom_site_fract_z
Eu1 Eu 0.0000 0.0000 0.2500
Ga1 Ga 0.5000 0.5000 0.0000
Au1 Au 0.5000 0.5000 0.5000
```

Properties
E_form: -237 kJ/mol of formula units
DOS(E_F): 14.3 states/eV per cell

Computed, not measured: a geometry-optimized EuGa4Au3 structure at the GGA-PBE level of DFT.

CIF file:
```
data_EuGa4Au3
_symmetry_space_group_name_H-M 'P 4/m m m'
_symmetry_Int_Tables_number 123
_symmetry_space_group_name_Hall '-P 4 2'
_cell_length_a 4.3573
_cell_length_b 4.3573
_cell_length_c 8.8770
_cell_angle_alpha 90.00
_cell_angle_beta 90.00
_cell_angle_gamma 90.00
loop_
_atom_site_label
_atom_site_type_symbol
_atom_site_fract_x
_atom_site_fract_y
_atom_site_fract_z
Eu1 Eu 0.0000 0.0000 0.0000
Ga1 Ga 0.0000 0.5000 0.3257
Au1 Au 0.0000 0.0000 0.5000
Au2 Au 0.5000 0.5000 0.1552
```

Properties
E_form: -358 kJ/mol of formula units
DOS(E_F): 13.2 states/eV per cell

Computed, not measured: a geometry-optimized EuGaAu3 structure at the GGA-PBE level of DFT.

CIF file:
```
data_EuGaAu3
_symmetry_space_group_name_H-M 'P m -3 m'
_symmetry_Int_Tables_number 221
_symmetry_space_group_name_Hall '-P 4 2 3'
_cell_length_a 4.9642
_cell_length_b 4.9642
_cell_length_c 4.9642
_cell_angle_alpha 90.00
_cell_angle_beta 90.00
_cell_angle_gamma 90.00
loop_
_atom_site_label
_atom_site_type_symbol
_atom_site_fract_x
_atom_site_fract_y
_atom_site_fract_z
Eu1 Eu 0.0000 0.0000 0.0000
Ga1 Ga 0.5000 0.5000 0.5000
Au1 Au 0.0000 0.5000 0.5000
```

Properties
E_form: -184 kJ/mol of formula units
DOS(E_F): 15.5 states/eV per cell

Computed, not measured: a geometry-optimized Eu2GaAu structure at the GGA-PBE level of DFT.

CIF file:
```
data_Eu2GaAu
_symmetry_space_group_name_H-M 'R -3 m'
_symmetry_Int_Tables_number 166
_symmetry_space_group_name_Hall '-R 3 2"'
_cell_length_a 4.0860
_cell_length_b 4.0860
_cell_length_c 30.3075
_cell_angle_alpha 90.00
_cell_angle_beta 90.00
_cell_angle_gamma 120.00
loop_
_atom_site_label
_atom_site_type_symbol
_atom_site_fract_x
_atom_site_fract_y
_atom_site_fract_z
Eu1 Eu 0.0000 0.0000 0.1042
Ga1 Ga 0.0000 0.0000 0.0000
Au1 Au 0.0000 0.0000 0.5000
```

Properties
E_form: -54 kJ/mol of formula units
DOS(E_F): 60.3 states/eV per cell

Computed, not measured: a geometry-optimized EuGa2Au structure at the GGA-PBE level of DFT.

CIF file:
```
data_EuGa2Au
_symmetry_space_group_name_H-M 'F m -3 m'
_symmetry_Int_Tables_number 225
_symmetry_space_group_name_Hall '-F 4 2 3'
_cell_length_a 6.8988
_cell_length_b 6.8988
_cell_length_c 6.8988
_cell_angle_alpha 90.00
_cell_angle_beta 90.00
_cell_angle_gamma 90.00
loop_
_atom_site_label
_atom_site_type_symbol
_atom_site_fract_x
_atom_site_fract_y
_atom_site_fract_z
Eu1 Eu 0.0000 0.0000 0.0000
Ga1 Ga 0.2500 0.2500 0.2500
Au1 Au 0.0000 0.0000 0.5000
```

Properties
E_form: -159 kJ/mol of formula units
DOS(E_F): 11.8 states/eV per cell

Computed, not measured: a geometry-optimized EuGa2Au structure at the GGA-PBE level of DFT.

CIF file:
```
data_EuGa2Au
_symmetry_space_group_name_H-M 'P 4/m m m'
_symmetry_Int_Tables_number 123
_symmetry_space_group_name_Hall '-P 4 2'
_cell_length_a 4.3422
_cell_length_b 4.3422
_cell_length_c 4.6262
_cell_angle_alpha 90.00
_cell_angle_beta 90.00
_cell_angle_gamma 90.00
loop_
_atom_site_label
_atom_site_type_symbol
_atom_site_fract_x
_atom_site_fract_y
_atom_site_fract_z
Eu1 Eu 0.0000 0.0000 0.0000
Ga1 Ga 0.0000 0.5000 0.5000
Au1 Au 0.5000 0.5000 0.0000
```

Properties
E_form: -156 kJ/mol of formula units
DOS(E_F): 7.7 states/eV per cell